Entry 1:
Ca4IrRh, relaxed, DFT PBE; V = 26.45 Å³/atom; calculated formation energy = -345.3 meV/atom; total magnetization = 0.00 μB/atom; final energy = -4.38 eV per atom; crystal system = monoclinic; polymorph energy (0 for the lowest one) = 0 meV/atom
1.0
0.084 -5.791 2.521
7.590 1.270 -0.652
-3.759 4.898 5.120
Ca Ir Rh
8 2 2
direct
0.011 0.250 0.886 Ca
0.783 0.691 0.641 Ca
0.376 0.637 0.886 Ca
0.358 0.950 0.641 Ca
0.642 0.050 0.359 Ca
0.624 0.363 0.114 Ca
0.217 0.309 0.359 Ca
0.989 0.750 0.114 Ca
0.387 0.637 0.274 Ir
0.613 0.363 0.726 Ir
0.245 0.995 0.991 Rh
0.755 0.005 0.009 Rh

Entry 2:
KSc2Sb, relaxed, DFT PBE; V = 27.40 Å³/atom; total magnetization = 0.73 μB/atom; final energy = -4.29 eV per atom; crystal system = cubic; raw formation energy = 179 meV/atom
1.0
-3.884 3.492 -1.257
-1.087 1.069 -5.151
-4.578 -1.751 -2.198
K Sb Sc
1 1 2
direct
0.500 0.500 0.500 K
0.750 0.750 0.750 Sb
0.000 0.000 0.000 Sc
0.250 0.250 0.250 Sc

Entry 3:
SrBAs2Se, relaxed, DFT PBE; V = 36.97 Å³/atom; total magnetization = 0.00 μB/atom; final energy = -2.59 eV per atom; crystal system = tetragonal; polymorph energy (0 for the lowest one) = 1597 meV/atom; raw formation energy = 1634 meV/atom
1.0
-4.120 -3.019 -2.549
3.844 -2.211 -3.594
0.908 -4.284 3.606
Sr As B Se
1 2 1 1
direct
0.000 0.000 0.000 Sr
0.000 0.500 0.000 As
0.500 0.000 0.000 As
0.500 0.500 0.500 B
0.000 0.000 0.500 Se

Entry 4:
AcPm2Ge2, relaxed, DFT PBE; V = 28.84 Å³/atom; calculated formation energy = -609.7 meV/atom; total magnetization = 0.00 μB/atom; final energy = -5.18 eV per atom; crystal system = tetragonal
1.0
-0.687 2.727 -3.735
2.779 -2.774 -2.537
-6.262 -3.636 1.424
Ac Pm Ge
1 2 2
direct
0.000 0.000 0.000 Ac
0.750 0.250 0.500 Pm
0.250 0.750 0.500 Pm
0.403 0.403 0.805 Ge
0.597 0.597 0.195 Ge

Entry 5:
Li2PCl, relaxed, DFT PBE; V = 24.51 Å³/atom; total magnetization = 0.13 μB/atom; final energy = -3.35 eV per atom; crystal system = tetragonal; polymorph energy (0 for the lowest one) = 260 meV/atom; raw formation energy = -582 meV/atom
1.0
-1.660 5.942 -6.215
-5.914 3.946 -5.113
3.439 -3.265 7.362
Cl Li P
1 2 1
direct
0.750 0.250 0.500 Cl
0.000 0.000 0.000 Li
0.250 0.750 0.500 Li
0.500 0.500 0.000 P

Entry 6:
ZrCl2F, relaxed, DFT PBE; V = 23.81 Å³/atom; total magnetization = 0.25 μB/atom; final energy = -5.68 eV per atom; crystal system = tetragonal; polymorph energy (0 for the lowest one) = 0 meV/atom; raw formation energy = -2148 meV/atom
1.0
9.477 0.000 0.000
0.000 9.477 0.000
4.738 4.738 2.121
F Zr Cl
2 2 4
direct
0.500 0.500 0.000 F
0.250 0.750 0.500 F
0.000 0.000 0.000 Zr
0.750 0.250 0.500 Zr
0.784 0.125 0.250 Cl
0.966 0.625 0.250 Cl
0.375 0.216 0.750 Cl
0.875 0.034 0.750 Cl

Entry 7:
ZrNi2Bi, relaxed, DFT PBE; V = 19.42 Å³/atom; calculated formation energy = 203.3 meV/atom; total magnetization = 0.00 μB/atom; final energy = -5.79 eV per atom; crystal system = tetragonal
1.0
4.224 0.000 0.000
0.000 4.224 0.000
2.112 2.112 8.707
Ni Bi Zr
4 2 2
direct
0.603 0.125 0.250 Ni
0.147 0.625 0.250 Ni
0.375 0.397 0.750 Ni
0.875 0.853 0.750 Ni
0.000 0.000 0.000 Bi
0.750 0.250 0.500 Bi
0.500 0.500 0.000 Zr
0.250 0.750 0.500 Zr

Repeat the sixth record exactly.
ZrCl2F, relaxed, DFT PBE; V = 23.81 Å³/atom; total magnetization = 0.25 μB/atom; final energy = -5.68 eV per atom; crystal system = tetragonal; polymorph energy (0 for the lowest one) = 0 meV/atom; raw formation energy = -2148 meV/atom
1.0
9.477 0.000 0.000
0.000 9.477 0.000
4.738 4.738 2.121
F Zr Cl
2 2 4
direct
0.500 0.500 0.000 F
0.250 0.750 0.500 F
0.000 0.000 0.000 Zr
0.750 0.250 0.500 Zr
0.784 0.125 0.250 Cl
0.966 0.625 0.250 Cl
0.375 0.216 0.750 Cl
0.875 0.034 0.750 Cl